Entry from Alexandria via LeMat-Bulk: TiVO5 after structural relaxation (PBE+U).

Output
V: 16.53 A^3/atom
Space group: Pnma (62)
E_tot: -7.793 eV/atom
Magnetization: 1.02 μB per formula unit
D(E_F): 15.29 states/eV per cell

a b c (Å): 11.943 5.556 6.974
angles (deg): 90.00 90.00 90.00
Fractional positions:
Ti 0.059 0.250 0.148
Ti 0.441 0.750 0.648
Ti 0.559 0.250 0.352
Ti 0.941 0.750 0.852
V 0.154 0.750 0.468
V 0.346 0.250 0.968
V 0.654 0.750 0.032
V 0.846 0.250 0.532
O 0.000 0.000 0.000
O 0.000 0.500 0.000
O 0.072 0.750 0.675
O 0.122 0.002 0.335
O 0.122 0.498 0.335
O 0.204 0.250 0.025
O 0.296 0.750 0.525
O 0.378 0.502 0.835
O 0.378 0.998 0.835
O 0.428 0.250 0.175
O 0.500 0.000 0.500
O 0.500 0.500 0.500
O 0.572 0.750 0.825
O 0.622 0.002 0.165
O 0.622 0.498 0.165
O 0.704 0.250 0.475
O 0.796 0.750 0.975
O 0.878 0.502 0.665
O 0.878 0.998 0.665
O 0.928 0.250 0.325